Entry 1:
A relaxed KTlZn2Ni crystal, computed with PBE-GGA.

Cell lengths 4.857, 4.857, 5.042 Å; angles 90.00, 90.00, 90.00 degrees
Element x y z (fractional)
Tl 0.000 0.000 0.500
Ni 0.000 0.000 0.000
K 0.500 0.500 0.500
Zn 0.500 0.000 0.000
Zn 0.000 0.500 0.000

Values from the calculation:
Energy of formation   15.1 meV/atom
M_tot   0.00 μB/cell
Space-group type   No. 123



Entry 2:
A relaxed Pm6Pr3Y crystal, computed with PBE-GGA.

Cell lengths 7.090, 12.980, 10.121 Å; angles 148.67, 110.50, 90.00 degrees
Element x y z (fractional)
Y 0.500 0.500 0.000
Pr 0.000 0.000 0.000
Pr 0.303 0.767 0.606
Pr 0.697 0.233 0.394
Pm 0.829 0.165 0.658
Pm 0.329 0.303 0.113
Pm 0.671 0.697 0.887
Pm 0.216 0.697 0.887
Pm 0.171 0.835 0.342
Pm 0.784 0.303 0.113

Values from the calculation:
Energy of formation   260.3 meV/atom
M_tot   0.00 μB/cell
Space-group type   No. 12



Entry 3:
A relaxed AlZnGaCl2 crystal, computed with PBE-GGA.

Cell lengths 5.410, 4.794, 5.410 Å; angles 90.00, 90.00, 90.00 degrees
Element x y z (fractional)
Cl 0.500 0.000 0.000
Cl 0.000 0.000 0.500
Al 0.500 0.500 0.500
Zn 0.000 0.500 0.000
Ga 0.000 0.000 0.000

Values from the calculation:
Energy relative to the elements, uncorrected   -12.8 kJ/mol of atoms
M_tot   0.00 μB/cell
Space-group type   No. 123



Entry 4:
A relaxed NaNdSe2O8 crystal, computed with PBE-GGA.

Cell lengths 6.137, 6.137, 6.137 Å; angles 106.05, 106.05, 116.56 degrees
Element x y z (fractional)
O 0.410 0.085 0.324
O 0.837 0.658 0.179
O 0.342 0.522 0.179
O 0.478 0.658 0.821
O 0.761 0.085 0.676
O 0.915 0.590 0.676
O 0.342 0.163 0.821
O 0.915 0.239 0.324
Se 0.750 0.250 0.500
Se 0.500 0.500 0.000
Nd 0.250 0.750 0.500
Na 0.000 0.000 0.000

Values from the calculation:
Energy relative to the elements, uncorrected   -145.2 kJ/mol of atoms
M_tot   0.00 μB/cell
Space-group type   No. 119



Entry 5:
A relaxed YAs2Pt crystal, computed with PBE-GGA.

Cell lengths 5.494, 5.494, 4.260 Å; angles 69.97, 69.97, 117.97 degrees
Element x y z (fractional)
As 0.500 0.500 0.000
As 0.000 0.000 0.000
Y 0.000 0.500 0.500
Pt 0.500 0.000 0.500

Values from the calculation:
Energy of formation   -574.3 meV/atom
M_tot   0.00 μB/cell
Space-group type   No. 69



Entry 6:
A relaxed Be4CoRh3 crystal, computed with PBE-GGA.

Cell lengths 2.755, 2.755, 10.902 Å; angles 90.00, 90.00, 90.00 degrees
Element x y z (fractional)
Co 0.500 0.500 0.000
Be 0.000 0.000 0.371
Be 0.000 0.000 0.887
Be 0.000 0.000 0.629
Be 0.000 0.000 0.113
Rh 0.500 0.500 0.500
Rh 0.500 0.500 0.760
Rh 0.500 0.500 0.240

Values from the calculation:
Energy of formation   -517.6 meV/atom
M_tot   0.79 μB/cell
Space-group type   No. 123



Entry 7:
A relaxed CsHoSiS4 crystal, computed with PBE-GGA.

Cell lengths 6.386, 6.736, 9.463 Å; angles 90.00, 108.37, 90.00 degrees
Element x y z (fractional)
S 0.998 0.997 0.308
S 0.584 0.250 0.802
S 0.571 0.250 0.433
S 0.002 0.497 0.692
S 0.998 0.503 0.308
S 0.416 0.750 0.198
S 0.002 0.003 0.692
S 0.429 0.750 0.567
Ho 0.224 0.250 0.545
Ho 0.776 0.750 0.455
Cs 0.733 0.750 0.938
Cs 0.267 0.250 0.062
Si 0.222 0.750 0.343
Si 0.778 0.250 0.657

Values from the calculation:
Energy relative to the elements, uncorrected   -138.4 kJ/mol of atoms
M_tot   0.00 μB/cell
Space-group type   No. 11



Entry 8:
A relaxed Mg2BiS4 crystal, computed with PBE-GGA.

Cell lengths 3.703, 6.397, 12.852 Å; angles 90.00, 90.00, 106.82 degrees
Element x y z (fractional)
Mg 0.874 0.747 0.936
Mg 0.126 0.253 0.436
Mg 0.126 0.253 0.064
Mg 0.874 0.747 0.564
Bi 0.383 0.765 0.250
Bi 0.617 0.235 0.750
S 0.951 0.903 0.750
S 0.775 0.550 0.387
S 0.500 0.000 0.000
S 0.225 0.450 0.613
S 0.049 0.097 0.250
S 0.775 0.550 0.113
S 0.500 0.000 0.500
S 0.225 0.450 0.887

Values from the calculation:
Energy relative to the elements, uncorrected   -74.4 kJ/mol of atoms
M_tot   0.00 μB/cell
Space-group type   No. 63



Entry 9:
A relaxed Li2SmIn crystal, computed with PBE-GGA.

Cell lengths 4.456, 4.662, 4.662 Å; angles 90.00, 90.00, 90.00 degrees
Element x y z (fractional)
Li 0.000 0.500 0.000
Li 0.000 0.000 0.500
Sm 0.500 0.500 0.500
In 0.500 0.000 0.000

Values from the calculation:
Energy of formation   -105.3 meV/atom
M_tot   0.09 μB/cell
Space-group type   No. 123



Entry 10:
A relaxed NaSeBr2N crystal, computed with PBE-GGA.

Cell lengths 5.798, 5.798, 3.803 Å; angles 90.00, 90.00, 90.00 degrees
Element x y z (fractional)
N 0.000 0.000 0.000
Br 0.500 0.000 0.000
Br 0.000 0.500 0.000
Se 0.000 0.000 0.500
Na 0.500 0.500 0.500

Values from the calculation:
Energy relative to the elements, uncorrected   31.1 kJ/mol of atoms
M_tot   0.00 μB/cell
Space-group type   No. 123



Entry 11:
A relaxed Tb2ZnPt7 crystal, computed with PBE-GGA.

Cell lengths 6.757, 6.757, 6.757 Å; angles 60.00, 60.00, 60.00 degrees
Element x y z (fractional)
Pt 0.500 0.500 0.500
Pt 0.241 0.759 0.241
Pt 0.759 0.241 0.759
Pt 0.241 0.241 0.759
Pt 0.759 0.241 0.241
Pt 0.241 0.759 0.759
Pt 0.759 0.759 0.241
Zn 0.000 0.000 0.000
Tb 0.250 0.250 0.250
Tb 0.750 0.750 0.750

Values from the calculation:
Energy of formation   26.2 meV/atom
M_tot   0.00 μB/cell
Space-group type   No. 225



Entry 12:
A relaxed PrMg2Cu2Si crystal, computed with PBE-GGA.

Cell lengths 4.770, 4.770, 6.562 Å; angles 111.31, 111.31, 90.00 degrees
Element x y z (fractional)
Cu 0.194 0.194 0.389
Cu 0.806 0.806 0.611
Pr 0.500 0.500 0.000
Mg 0.750 0.250 0.500
Mg 0.250 0.750 0.500
Si 0.000 0.000 0.000

Values from the calculation:
Energy relative to the elements, uncorrected   -4.4 kJ/mol of atoms
M_tot   0.00 μB/cell
Space-group type   No. 139



Entry 13:
A relaxed Ba3Bi crystal, computed with PBE-GGA.

Cell lengths 5.643, 5.643, 5.643 Å; angles 90.00, 90.00, 90.00 degrees
Element x y z (fractional)
Bi 0.000 0.000 0.000
Ba 0.500 0.000 0.500
Ba 0.000 0.500 0.500
Ba 0.500 0.500 0.000

Values from the calculation:
Energy of formation   -449.8 meV/atom
M_tot   0.00 μB/cell
Space-group type   No. 221



Entry 14:
A relaxed ReMoPW2 crystal, computed with PBE-GGA.

Cell lengths 4.767, 4.743, 4.767 Å; angles 90.00, 90.00, 90.00 degrees
Element x y z (fractional)
Mo 0.000 0.500 0.000
W 0.000 0.000 0.500
W 0.500 0.000 0.000
Re 0.000 0.000 0.000
P 0.500 0.500 0.500

Values from the calculation:
Energy of formation   2137.8 meV/atom
M_tot   0.20 μB/cell
Space-group type   No. 123



Entry 15:
A relaxed AcLa5Y4 crystal, computed with PBE-GGA.

Cell lengths 11.631, 6.878, 9.478 Å; angles 90.00, 90.00, 90.00 degrees
Element x y z (fractional)
La 0.214 0.000 0.500
La 0.718 0.748 0.683
La 0.282 0.752 0.183
La 0.718 0.252 0.317
La 0.718 0.252 0.683
La 0.786 0.500 0.000
La 0.282 0.248 0.183
La 0.282 0.752 0.817
La 0.718 0.748 0.317
La 0.282 0.248 0.817
Y 0.542 0.753 0.000
Y 0.008 0.500 0.813
Y 0.008 0.500 0.187
Y 0.458 0.253 0.500
Y 0.992 0.000 0.313
Y 0.542 0.247 0.000
Y 0.992 0.000 0.687
Y 0.458 0.747 0.500
Ac 0.164 0.500 0.500
Ac 0.836 0.000 0.000

Values from the calculation:
Energy of formation   341.9 meV/atom
M_tot   0.00 μB/cell
Space-group type   No. 59



Entry 16:
A relaxed TlCoTc crystal, computed with PBE-GGA.

Cell lengths 2.919, 2.919, 6.658 Å; angles 90.00, 90.00, 120.00 degrees
Element x y z (fractional)
Co 0.000 0.000 0.024
Tc 0.667 0.333 0.301
Tl 0.333 0.667 0.676

Values from the calculation:
Energy of formation   651.1 meV/atom
M_tot   1.17 μB/cell
Space-group type   No. 156



Entry 17:
A relaxed PrSc2Pd crystal, computed with PBE-GGA.

Cell lengths 3.400, 3.400, 8.235 Å; angles 90.00, 90.00, 90.00 degrees
Element x y z (fractional)
Sc 0.000 0.000 0.190
Sc 0.000 0.000 0.810
Pr 0.500 0.500 0.500
Pd 0.500 0.500 0.000

Values from the calculation:
Energy of formation   -405.9 meV/atom
M_tot   0.00 μB/cell
Space-group type   No. 123



Entry 18:
A relaxed Tb6Nd2Sm3Th crystal, computed with PBE-GGA.

Cell lengths 6.249, 6.249, 11.872 Å; angles 95.04, 95.04, 119.96 degrees
Element x y z (fractional)
Tb 0.246 0.246 0.751
Tb 0.917 0.587 0.751
Tb 0.083 0.413 0.249
Tb 0.754 0.754 0.249
Tb 0.587 0.917 0.751
Tb 0.413 0.083 0.249
Th 0.000 0.000 0.000
Sm 0.500 0.500 0.500
Sm 0.167 0.833 0.500
Sm 0.833 0.167 0.500
Nd 0.333 0.667 0.000
Nd 0.667 0.333 0.000

Values from the calculation:
Energy of formation   24.5 meV/atom
M_tot   0.00 μB/cell
Space-group type   No. 12



Entry 19:
A relaxed Ca3GeIr crystal, computed with PBE-GGA.

Cell lengths 5.397, 5.397, 5.397 Å; angles 90.00, 90.00, 90.00 degrees
Element x y z (fractional)
Ca 0.500 0.000 0.000
Ca 0.000 0.000 0.500
Ca 0.000 0.500 0.000
Ge 0.500 0.500 0.500
Ir 0.000 0.000 0.000

Values from the calculation:
Energy of formation   -79.7 meV/atom
M_tot   0.93 μB/cell
Space-group type   No. 221



Entry 20:
A relaxed ScSBr crystal, computed with PBE-GGA.

Cell lengths 7.645, 7.351, 7.645 Å; angles 75.70, 58.34, 104.30 degrees
Element x y z (fractional)
S 0.812 0.201 0.536
S 0.263 0.799 0.389
S 0.714 0.701 0.438
S 0.861 0.299 0.987
Sc 0.596 0.054 0.967
Sc 0.283 0.554 0.654
Sc 0.792 0.446 0.271
Sc 0.979 0.946 0.458
Br 0.755 0.769 0.914
Br 0.336 0.269 0.495
Br 0.317 0.231 0.014
Br 0.236 0.731 0.933

Values from the calculation:
Energy relative to the elements, uncorrected   -163.7 kJ/mol of atoms
M_tot   0.00 μB/cell
Space-group type   No. 43



Entry 21:
A relaxed YPRu crystal, computed with PBE-GGA.

Cell lengths 4.351, 4.351, 4.351 Å; angles 60.00, 60.00, 60.00 degrees
Element x y z (fractional)
Ru 0.000 0.000 0.000
Y 0.500 0.500 0.500
P 0.250 0.250 0.250

Values from the calculation:
Energy of formation   -487.8 meV/atom
M_tot   0.91 μB/cell
Space-group type   No. 216



Entry 22:
A relaxed PaTiCl6 crystal, computed with PBE-GGA.

Cell lengths 7.187, 7.187, 6.335 Å; angles 98.09, 98.09, 127.66 degrees
Element x y z (fractional)
Cl 0.375 0.094 0.235
Cl 0.243 0.243 0.758
Cl 0.625 0.906 0.765
Cl 0.906 0.625 0.765
Cl 0.094 0.375 0.235
Cl 0.757 0.757 0.242
Pa 0.500 0.500 0.500
Ti 0.000 0.000 0.000

Values from the calculation:
Energy relative to the elements, uncorrected   -163.4 kJ/mol of atoms
M_tot   3.00 μB/cell
Space-group type   No. 12



Entry 23:
A relaxed CsHoPbF6 crystal, computed with PBE-GGA.

Cell lengths 6.455, 6.456, 5.973 Å; angles 90.02, 89.98, 59.94 degrees
Element x y z (fractional)
F 0.968 0.399 0.302
F 0.967 0.634 0.698
F 0.633 0.400 0.699
F 0.400 0.633 0.301
F 0.634 0.967 0.302
F 0.399 0.967 0.698
Pb 0.333 0.333 0.500
Cs 0.000 0.000 0.000
Ho 0.667 0.667 0.500

Values from the calculation:
Energy relative to the elements, uncorrected   -313.2 kJ/mol of atoms
M_tot   0.00 μB/cell
Space-group type   No. 5



Entry 24:
A relaxed NdSmDyTh2 crystal, computed with PBE-GGA.

Cell lengths 6.712, 6.705, 8.563 Å; angles 113.05, 90.00, 90.00 degrees
Element x y z (fractional)
Dy 0.250 0.651 0.303
Dy 0.750 0.349 0.697
Nd 0.250 0.848 0.696
Nd 0.750 0.152 0.304
Th 0.000 0.253 0.000
Th 0.000 0.747 0.000
Th 0.500 0.253 0.000
Th 0.500 0.747 0.000
Sm 0.750 0.740 0.481
Sm 0.250 0.260 0.519

Values from the calculation:
Energy of formation   388.4 meV/atom
M_tot   0.00 μB/cell
Space-group type   No. 63